1.
The following is a DFT calculation (PBE) of a geometry-optimized MoIr2Cl structure.

Calculated values
- polymorph energy (0 for the lowest one) (meV/atom) = 256
- raw formation energy (eV per atom) = 0.4610
- E (eV per cell) = -28.56
- density of states at the Fermi level (states/eV/cell) = 4.99
- M_tot (μB/f.u.) = 0.0

Unit cell a=2.822 b=2.822 c=9.255 alpha=90.00 beta=90.00 gamma=120.05
Sites, in units of the cell vectors:
Cl1 0.500 0.500 0.750
Ir1 0.000 0.000 0.010
Ir2 0.000 0.000 0.490
Mo1 0.500 0.500 0.250

---

2.
The following is a DFT calculation (PBE) of a geometry-optimized UTl2SbSe5 structure.

Calculated values
- raw formation energy (eV per atom) = -0.5769
- E (eV per cell) = -85.52
- density of states at the Fermi level (states/eV/cell) = 9.24
- M_tot (μB/f.u.) = 1.0

Unit cell a=4.315 b=9.363 c=14.836 alpha=90.00 beta=90.00 gamma=103.32
Last column: magnetic moment on the atom in μB.
Sites, in units of the cell vectors:
U1 0.783 0.565 0.531  1.31
U2 0.217 0.435 0.031  1.31
Tl1 0.865 0.731 0.808  0.00
Tl2 0.096 0.193 0.657  -0.01
Tl3 0.135 0.269 0.308  0.00
Tl4 0.904 0.807 0.157  -0.01
Sb1 0.538 0.076 0.940  -0.01
Sb2 0.462 0.924 0.440  -0.01
Se1 0.360 0.720 0.992  -0.06
Se2 0.686 0.373 0.907  -0.05
Se3 0.496 0.992 0.774  -0.02
Se4 0.271 0.542 0.650  -0.06
Se5 0.930 0.860 0.565  -0.05
Se6 0.640 0.280 0.492  -0.06
Se7 0.314 0.627 0.407  -0.05
Se8 0.504 0.008 0.274  -0.02
Se9 0.729 0.458 0.150  -0.06
Se10 0.070 0.140 0.065  -0.05

---

3.
The following is a DFT calculation (PBE) of a geometry-optimized ScIn2Ru structure.

Calculated values
- calculated formation energy (eV/f.u.) = -0.66
- E (eV per cell) = -21.75
- density of states at the Fermi level (states/eV/cell) = 3.07
- M_tot (μB/f.u.) = 0.0

Unit cell a=5.144 b=5.144 c=4.940 alpha=75.50 beta=75.50 gamma=38.90
Sites, in units of the cell vectors:
In1 0.015 0.015 0.978
In2 0.485 0.485 0.522
Ru1 0.750 0.750 0.750
Sc1 0.250 0.250 0.250

---

4.
The following is a DFT calculation (PBE) of a geometry-optimized ZrTe3O structure.

Calculated values
- polymorph energy (0 for the lowest one) (meV/atom) = 534
- raw formation energy (eV per atom) = 0.4705
- E (eV per cell) = -20.58
- density of states at the Fermi level (states/eV/cell) = 11.42
- M_tot (μB/f.u.) = 0.0

Unit cell a=5.501 b=5.501 c=5.501 alpha=90.00 beta=90.00 gamma=90.00
Sites, in units of the cell vectors:
Te1 0.000 0.500 0.000
Te2 0.000 0.000 0.500
Te3 0.500 0.000 0.000
O1 0.500 0.500 0.500
Zr1 0.000 0.000 0.000

---

5.
The following is a DFT calculation (PBE) of a geometry-optimized Pm4CoSiCl2 structure.

Calculated values
- raw formation energy (eV per atom) = -0.9512
- E (eV per cell) = -42.83
- density of states at the Fermi level (states/eV/cell) = 6.55
- M_tot (μB/f.u.) = 0.0

Unit cell a=4.015 b=7.301 c=7.504 alpha=107.32 beta=90.00 gamma=90.00
Sites, in units of the cell vectors:
Pm1 0.500 0.221 0.206
Pm2 0.500 0.779 0.794
Pm3 0.000 0.245 0.787
Pm4 0.000 0.755 0.213
Co1 0.000 0.000 0.000
Si1 0.500 0.500 0.000
Cl1 0.500 0.000 0.500
Cl2 0.000 0.500 0.500

---

6.
The following is a DFT calculation (PBE) of a geometry-optimized Ac11In9Ni4 structure.

Calculated values
- calculated formation energy (eV/f.u.) = -9.71
- E (eV per cell) = -102.68
- density of states at the Fermi level (states/eV/cell) = 20.10
- M_tot (μB/f.u.) = 0.0

Unit cell a=4.017 b=14.070 c=14.070 alpha=112.88 beta=90.00 gamma=90.00
Sites, in units of the cell vectors:
Ac1 0.000 0.582 0.920
Ac2 0.000 0.418 0.080
Ac3 0.000 0.920 0.582
Ac4 0.000 0.080 0.418
Ac5 0.000 0.625 0.375
Ac6 0.000 0.375 0.625
Ac7 0.000 0.838 0.162
Ac8 0.000 0.162 0.838
Ac9 0.000 0.000 0.000
Ac10 0.000 0.687 0.687
Ac11 0.000 0.313 0.313
In1 0.500 0.635 0.165
In2 0.500 0.365 0.835
In3 0.500 0.165 0.635
In4 0.500 0.835 0.365
In5 0.500 0.779 0.917
In6 0.500 0.221 0.083
In7 0.500 0.917 0.779
In8 0.500 0.083 0.221
In9 0.500 0.500 0.500
Ni1 0.500 0.556 0.756
Ni2 0.500 0.444 0.244
Ni3 0.500 0.756 0.556
Ni4 0.500 0.244 0.444

---

7.
The following is a DFT calculation (PBE) of a geometry-optimized TiTcNi structure.

Calculated values
- calculated formation energy (eV/f.u.) = -0.58
- polymorph energy (0 for the lowest one) (meV/atom) = 85
- E (eV per cell) = -98.50
- density of states at the Fermi level (states/eV/cell) = 13.47
- M_tot (μB/f.u.) = 0.0

Unit cell a=5.446 b=4.177 c=9.070 alpha=90.00 beta=126.28 gamma=90.00
Sites, in units of the cell vectors:
Ni1 0.835 0.000 0.168
Ni2 0.165 0.000 0.832
Ni3 0.835 0.500 0.668
Ni4 0.165 0.500 0.332
Tc1 0.662 0.000 0.825
Tc2 0.338 0.000 0.175
Tc3 0.662 0.500 0.325
Tc4 0.338 0.500 0.675
Ti1 0.000 0.500 0.000
Ti2 0.000 0.000 0.500
Ti3 0.500 0.000 0.500
Ti4 0.500 0.500 0.000

---

8.
The following is a DFT calculation (PBE) of a geometry-optimized KRhS2N structure.

Calculated values
- polymorph energy (0 for the lowest one) (meV/atom) = 2301
- raw formation energy (eV per atom) = 2.4692
- E (eV per cell) = -12.68
- density of states at the Fermi level (states/eV/cell) = 11.20
- M_tot (μB/f.u.) = 0.0

Unit cell a=5.216 b=5.216 c=4.223 alpha=90.00 beta=90.00 gamma=90.00
Sites, in units of the cell vectors:
K1 0.000 0.000 0.000
Rh1 0.500 0.500 0.500
S1 0.000 0.500 0.000
S2 0.500 0.000 0.000
N1 0.000 0.000 0.500

---

9.
The following is a DFT calculation (PBE) of a geometry-optimized NdZn4Cu4 structure.

Calculated values
- calculated formation energy (eV/f.u.) = -0.45
- E (eV per cell) = -53.40
- density of states at the Fermi level (states/eV/cell) = 9.04
- M_tot (μB/f.u.) = 0.0

Unit cell a=4.333 b=8.307 c=8.307 alpha=90.00 beta=90.00 gamma=90.00
Sites, in units of the cell vectors:
Nd1 0.000 0.000 0.000
Nd2 0.500 0.500 0.500
Zn1 0.500 0.405 0.885
Zn2 0.000 0.615 0.905
Zn3 0.500 0.595 0.115
Zn4 0.000 0.095 0.615
Zn5 0.500 0.885 0.595
Zn6 0.000 0.905 0.385
Zn7 0.000 0.385 0.095
Zn8 0.500 0.115 0.405
Cu1 0.500 0.844 0.257
Cu2 0.500 0.156 0.743
Cu3 0.000 0.757 0.656
Cu4 0.000 0.344 0.757
Cu5 0.000 0.656 0.243
Cu6 0.500 0.257 0.156
Cu7 0.500 0.743 0.844
Cu8 0.000 0.243 0.344

---

10.
The following is a DFT calculation (PBE) of a geometry-optimized TcRh structure.

Calculated values
- calculated formation energy (eV/f.u.) = 1.63
- polymorph energy (0 for the lowest one) (meV/atom) = 989
- E (eV per cell) = -32.18
- density of states at the Fermi level (states/eV/cell) = 6.67
- M_tot (μB/f.u.) = 1.1

Unit cell a=3.844 b=3.844 c=5.283 alpha=90.00 beta=90.00 gamma=120.00
Last column: magnetic moment on the atom in μB.
Sites, in units of the cell vectors:
Rh1 0.000 0.000 0.000  0.09
Rh2 0.000 0.000 0.500  0.09
Tc1 0.333 0.667 0.250  0.93
Tc2 0.667 0.333 0.750  0.93

---

11.
The following is a DFT calculation (PBE) of a geometry-optimized CaBe2IrRh structure.

Calculated values
- calculated formation energy (eV/f.u.) = 1.03
- E (eV per cell) = -24.63
- density of states at the Fermi level (states/eV/cell) = 3.54
- M_tot (μB/f.u.) = 0.0

Unit cell a=4.260 b=4.903 c=4.260 alpha=90.00 beta=90.00 gamma=90.00
Sites, in units of the cell vectors:
Be1 0.000 0.000 0.500
Be2 0.500 0.000 0.000
Ca1 0.500 0.500 0.500
Ir1 0.000 0.500 0.000
Rh1 0.000 0.000 0.000

---

12.
The following is a DFT calculation (PBE) of a geometry-optimized Cs3CdS2O8 structure.

Calculated values
- raw formation energy (eV per atom) = -1.5867
- E (eV per cell) = -73.61
- density of states at the Fermi level (states/eV/cell) = 1.82
- M_tot (μB/f.u.) = 1.0

Unit cell a=6.306 b=6.306 c=8.225 alpha=90.00 beta=90.00 gamma=120.00
Last column: magnetic moment on the atom in μB.
Sites, in units of the cell vectors:
Cs1 0.333 0.667 0.691  0.00
Cs2 0.667 0.333 0.309  0.00
Cs3 0.000 0.000 0.000  0.00
Cd1 0.000 0.000 0.500  0.38
S1 0.333 0.667 0.240  0.01
S2 0.667 0.333 0.760  0.01
O1 0.333 0.667 0.060  0.02
O2 0.667 0.333 0.940  0.02
O3 0.204 0.796 0.302  0.02
O4 0.796 0.204 0.698  0.02
O5 0.204 0.407 0.302  0.02
O6 0.796 0.593 0.698  0.02
O7 0.593 0.796 0.302  0.02
O8 0.407 0.204 0.698  0.02

---

Q: Look up the E of the first one.
A: -28.56 eV per cell

---

Q: What is the formula in the seventh record?
A: TiTcNi

---

Q: E of number 2 (UTl2SbSe5)?
A: -85.52 eV per cell

---

Q: Which of these has the lowest density of states at the Fermi level?
A: Cs3CdS2O8